[1]
A geometry-optimized TmTeC structure, computed with PBE-GGA.

a b c (Å): 4.2239 4.3416 8.5290
angles (deg): 104.75 104.34 90.00
Positions (direct):
Te 0.6783 0.1783 0.3567
Te 0.3217 0.8217 0.6433
C 0.3521 0.5000 0.0000
C 0.6479 0.5000 0.0000
Tm 0.1208 0.6208 0.2416
Tm 0.8792 0.3792 0.7584

Calculated values
mass density	7.0	g/cm3
formation energy without anion corrections	-0.52	eV/atom

***

[2]
A geometry-optimized Tm6TeC4 structure, computed with PBE-GGA.

a b c (Å): 3.6524 6.2869 18.7991
angles (deg): 90.00 90.00 106.89
Positions (direct):
Tm 0.7762 0.5525 0.4240
Tm 0.2238 0.4475 0.9240
Tm 0.0335 0.0669 0.1450
Tm 0.9665 0.9331 0.8550
Tm 0.7762 0.5525 0.0760
Tm 0.0335 0.0669 0.3550
Tm 0.5000 0.0000 0.5000
Tm 0.5000 0.0000 0.0000
Tm 0.3546 0.7093 0.2500
Tm 0.6454 0.2907 0.7500
Tm 0.2238 0.4475 0.5760
Tm 0.9665 0.9331 0.6450
C 0.8630 0.7260 0.5417
C 0.1370 0.2740 0.4583
C 0.5913 0.1825 0.8729
C 0.8630 0.7260 0.9583
C 0.5913 0.1825 0.6271
C 0.4087 0.8175 0.3729
C 0.1370 0.2740 0.0417
C 0.4087 0.8175 0.1271
Te 0.6599 0.3198 0.2500
Te 0.3401 0.6802 0.7500

Calculated values
mass density	9.6	g/cm3
formation energy without anion corrections	-0.51	eV/atom